Entry 1:
Here is a relaxed structure of Tl2InTeSe from the Alexandria database. Energies are from PBE-GGA.

The calculation puts the total energy at -31.48 eV/cell. For the uncorrected formation energy, the calculation gives -0.329 eV per atom.

The structure belongs to space group P2_1/m (No. 11); the cell edges are 7.242, 5.529 and 8.359 Å and the angles 90.00°, 92.79° and 90.00°. The asymmetric unit holds Tl at (0.099, 0.250, 0.405), Tl at (0.244, 0.250, 0.994), In at (0.475, 0.750, 0.336), Te at (0.382, 0.750, 0.690) and Se at (0.134, 0.750, 0.197).



Entry 2:
Here is a relaxed structure of TlInTeSe4 from the Alexandria database. Energies are from PBE-GGA.

The calculation puts the total energy at -47.03 eV/cell. For the uncorrected formation energy, the calculation gives -0.190 eV per atom.

The structure belongs to space group P2_1/m (No. 11); the cell edges are 7.515, 7.769 and 8.637 Å and the angles 90.00°, 105.83° and 90.00°. The asymmetric unit holds Tl at (0.173, 0.250, 0.033), In at (0.271, 0.750, 0.331), Te at (0.223, 0.250, 0.510), Se at (0.030, 0.002, 0.280), Se at (0.465, 0.250, 0.808) and Se at (0.491, 0.250, 0.379).